Compound: TaBeCl
Source: the Alexandria database
Functional: PBE
Structure: optimized geometry

Output
As for the raw formation energy: -0.371 eV/atom. Its density of states at the Fermi level is 3.5 states/eV per cell. The value obtained for the raw total energy is -6.180 eV per atom.

Cell: 9.9878 9.9878 9.9878 Å, 160.37 160.37 27.90°
Fractional coordinates of all 6 atoms:
Ta 0.2129 0.2129 0.0000
Ta 0.7871 0.7871 0.0000
Be 0.3396 0.3396 0.0000
Be 0.6604 0.6604 0.0000
Cl 0.5930 0.0930 0.5000
Cl 0.9070 0.4070 0.5000